Record 1
A plane-wave DFT calculation with GGA-PBE was carried out for a geometry-optimized Pm3Al3Pd structure.

abc: 3.819 4.543 19.793
angles: 90.00 90.00 90.00
Space group Imm2 (No. 44)
Unique sites:
Pm 0.000 0.000 0.000
Pm 0.000 0.000 0.380
Pm 0.000 0.500 0.196
Al 0.000 0.000 0.557
Al 0.000 0.000 0.831
Al 0.000 0.500 0.631
Pd 0.000 0.500 0.761

Summary:
* magnetization: 0.00 Bohr magnetons per cell
* DFT total energy: -4.90 eV/atom
* DFT formation energy: -0.520 eV per atom
* crystal system: orthorhombic



Record 2
A plane-wave DFT calculation with GGA-PBE was carried out for a geometry-optimized PmAl6Pd2 structure.

abc: 4.560 4.560 7.930
angles: 90.00 90.00 90.00
Space group P4/mmm (No. 123)
Unique sites:
Pm 0.000 0.000 0.000
Al 0.000 0.000 0.500
Al 0.000 0.500 0.299
Al 0.500 0.500 0.500
Pd 0.500 0.500 0.172

Summary:
* magnetization: 0.00 Bohr magnetons per cell
* DFT total energy: -4.65 eV/atom
* DFT formation energy: -0.470 eV per atom
* crystal system: tetragonal